Entry 1:
{
  "formula": "Y2Tl2IrO6",
  "functional": "PBE",
  "state": "optimized geometry",
  "lattice": [[-3.259, 1.718, -4.498], [-2.207, -3.566, 4.026], [-0.502, 5.715, 3.604]],
  "species": ["Y", "Y", "Tl", "Tl", "Ir", "O", "O", "O", "O", "O", "O"],
  "fractional_positions": [[0.335, 0.665, 0.500], [0.665, 0.335, 0.500], [0.839, 0.161, 0.000], [0.161, 0.839, 0.000], [0.000, 0.000, 0.500], [0.748, 0.748, 0.672], [0.042, 0.352, 0.663], [0.252, 0.252, 0.328], [0.352, 0.042, 0.663], [0.958, 0.648, 0.337], [0.648, 0.958, 0.337]],
  "space_group": "C2/m, No. 12",
  "e_form_raw_mev_per_atom": -1829,
  "e_tot_ev_per_atom": -6.9446,
  "crystal_system": "monoclinic"
}


Entry 2:
{
  "formula": "YTl2Ir3O12",
  "functional": "PBE",
  "state": "optimized geometry",
  "lattice": [[-5.567, 2.129, 2.974], [-4.573, -4.802, 0.626], [-0.568, -2.202, 6.261]],
  "species": ["Y", "Tl", "Tl", "Ir", "Ir", "Ir", "O", "O", "O", "O", "O", "O", "O", "O", "O", "O", "O", "O"],
  "fractional_positions": [[0.000, 0.000, 0.000], [0.613, 0.613, 0.613], [0.387, 0.387, 0.387], [0.500, 0.000, 0.000], [0.000, 0.500, 0.000], [0.000, 0.000, 0.500], [0.285, 0.285, 0.890], [0.865, 0.865, 0.401], [0.401, 0.865, 0.865], [0.890, 0.285, 0.285], [0.865, 0.401, 0.865], [0.285, 0.890, 0.285], [0.715, 0.715, 0.110], [0.135, 0.135, 0.599], [0.599, 0.135, 0.135], [0.110, 0.715, 0.715], [0.135, 0.599, 0.135], [0.715, 0.110, 0.715]],
  "space_group": "R-3m, No. 166",
  "e_form_raw_mev_per_atom": -941,
  "e_tot_ev_per_atom": -6.3452,
  "crystal_system": "trigonal"
}


Entry 3:
{
  "formula": "YTlIrO6",
  "functional": "PBE",
  "state": "optimized geometry",
  "lattice": [[-2.359, -2.349, 4.492], [-0.196, -2.604, -4.944], [7.921, -4.262, 1.931]],
  "species": ["Y", "Y", "Tl", "Tl", "Ir", "Ir", "O", "O", "O", "O", "O", "O", "O", "O", "O", "O", "O", "O"],
  "fractional_positions": [[0.333, 0.667, 0.250], [0.667, 0.333, 0.750], [0.000, 0.000, 0.000], [0.000, 0.000, 0.500], [0.667, 0.333, 0.250], [0.333, 0.667, 0.750], [0.658, 0.617, 0.131], [0.959, 0.342, 0.131], [0.342, 0.959, 0.631], [0.041, 0.658, 0.869], [0.383, 0.342, 0.369], [0.959, 0.617, 0.369], [0.617, 0.959, 0.869], [0.658, 0.041, 0.369], [0.041, 0.383, 0.631], [0.383, 0.041, 0.131], [0.617, 0.658, 0.631], [0.342, 0.383, 0.869]],
  "space_group": "P-31c, No. 163",
  "e_form_raw_mev_per_atom": -1346,
  "e_tot_ev_per_atom": -6.6169,
  "crystal_system": "trigonal"
}


| no. | volume (Å³ per cell) |
| --- | --- |
| 1 | 191.9 |
| 2 | 241.7 |
| 3 | 249.1 |